VASP calculation (PBE) on a relaxed structure of BiH4Pd5.

Geometry as POSCAR:
```
BiH4Pd5
1.0
5.6966 0.0000 0.0000
0.0000 7.9615 0.0000
0.0000 0.0000 5.4147
Bi H Pd
2 8 10
direct
0.2500 0.2500 0.1172
0.7500 0.7500 0.8828
0.0289 0.7500 0.4244
0.2500 0.5195 0.6104
0.2500 0.9805 0.6104
0.4711 0.7500 0.4244
0.5289 0.2500 0.5756
0.7500 0.0195 0.3896
0.7500 0.4805 0.3896
0.9711 0.2500 0.5756
0.0064 0.5658 0.2436
0.0064 0.9342 0.2436
0.2500 0.7500 0.6719
0.4936 0.5658 0.2436
0.4936 0.9342 0.2436
0.5064 0.0658 0.7564
0.5064 0.4342 0.7564
0.7500 0.2500 0.3281
0.9936 0.0658 0.7564
0.9936 0.4342 0.7564
```

Values from the calculation:
Electronic total energy, eV/atom: -4.396